A geometry-optimized SmPa5Sb6 structure. Source: Alexandria, functional PBE-GGA.

- Raw formation energy: -552 meV per atom
- Size of the total moment: 0.241 μB/cell
- Total energy: -6.963 eV/atom
- Volume: 355 Å³/cell

Cell and atoms, written as CIF:
```
data_SmPa5Sb6
_chemical_formula_sum 'Sm1 Pa5 Sb6'
_cell_length_a 7.578
_cell_length_b 7.578
_cell_length_c 7.579
_cell_angle_alpha 99.60
_cell_angle_beta 99.60
_cell_angle_gamma 120.01
_space_group_name_H-M_alt 'P 1'
_space_group_IT_number 1
loop_
_space_group_symop_operation_xyz
'x,y,z'
loop_
_atom_site_label
_atom_site_type_symbol
_atom_site_fract_x
_atom_site_fract_y
_atom_site_fract_z
Sm1 Sm 0.000 0.000 0.000
Pa1 Pa 0.164 0.836 0.500
Pa2 Pa 0.333 0.667 0.000
Pa3 Pa 0.500 0.500 0.500
Pa4 Pa 0.667 0.333 0.000
Pa5 Pa 0.836 0.164 0.500
Sb1 Sb 0.084 0.420 0.252
Sb2 Sb 0.253 0.253 0.751
Sb3 Sb 0.420 0.084 0.252
Sb4 Sb 0.580 0.916 0.748
Sb5 Sb 0.747 0.747 0.249
Sb6 Sb 0.916 0.580 0.748
```